1.
DFT (GGA-PBE) results for Na3HgSb after structural relaxation.

Computed properties:
Excess energy over the best structure of this formula in the dataset = 0.0 kJ per mole of atoms
Theoretical density = 4.713 g/cm3
E = -20.3 eV for the cell shown
Raw formation energy = -0.355 eV per atom

Cell lengths 6.3848, 5.3102, 8.5574 Å; angles 90.00, 108.12, 90.00 degrees
With the nearest neighbours (Å) after each atom.
Fractional coordinates of all 10 atoms:
Na 0.1660 0.2500 0.4878  3 Sb 3.24-3.25, 6 Na 3.26-3.54, 1 Hg 3.30
Na 0.3130 0.7500 0.2988  1 Hg 3.19, 4 Na 3.26-3.39, 3 Sb 3.35-3.37
Na 0.3303 0.2500 0.9226  3 Hg 3.09-3.22, 3 Sb 3.22-3.31, 3 Na 3.39-3.42
Na 0.6697 0.7500 0.0774  3 Hg 3.09-3.22, 3 Sb 3.22-3.31, 3 Na 3.39-3.42
Na 0.6870 0.2500 0.7012  1 Hg 3.19, 4 Na 3.26-3.39, 3 Sb 3.35-3.37
Na 0.8340 0.7500 0.5122  3 Sb 3.24-3.25, 6 Na 3.26-3.54, 1 Hg 3.30
Hg 0.0414 0.7500 0.9164  5 Na 3.09-3.30, 2 Hg 3.14, 1 Sb 3.15
Hg 0.9586 0.2500 0.0836  5 Na 3.09-3.30, 2 Hg 3.14, 1 Sb 3.15
Sb 0.3610 0.7500 0.7004  1 Hg 3.15, 9 Na 3.22-3.37
Sb 0.6390 0.2500 0.2996  1 Hg 3.15, 9 Na 3.22-3.37

***

2.
DFT (GGA-PBE) results for NaHg3Sb3 after structural relaxation.

Computed properties:
Theoretical density = 6.313 g/cm3
E = -27.4 eV for the cell shown
Raw formation energy = 0.124 eV per atom

Cell lengths 8.0457, 8.0457, 8.0457 Å; angles 90.00, 90.00, 90.00 degrees
With the nearest neighbours (Å) after each atom.
Fractional coordinates of all 14 atoms:
Na 0.0000 0.0000 0.0000  12 Hg 4.50, 12 Sb 4.50
Na 0.5000 0.5000 0.5000  12 Hg 4.50, 12 Sb 4.50
Hg 0.0000 0.2500 0.5000  4 Sb 2.84
Hg 0.0000 0.7500 0.5000  4 Sb 2.84
Hg 0.2500 0.5000 0.0000  4 Sb 2.84
Hg 0.5000 0.0000 0.2500  4 Sb 2.84
Hg 0.5000 0.0000 0.7500  4 Sb 2.84
Hg 0.7500 0.5000 0.0000  4 Sb 2.84
Sb 0.0000 0.5000 0.2500  4 Hg 2.84
Sb 0.0000 0.5000 0.7500  4 Hg 2.84
Sb 0.2500 0.0000 0.5000  4 Hg 2.84
Sb 0.5000 0.2500 0.0000  4 Hg 2.84
Sb 0.5000 0.7500 0.0000  4 Hg 2.84
Sb 0.7500 0.0000 0.5000  4 Hg 2.84

***

3.
DFT (GGA-PBE) results for NaHgSb after structural relaxation.

Computed properties:
Theoretical density = 7.071 g/cm3
E = -12.4 eV for the cell shown
Raw formation energy = -0.159 eV per atom

Cell lengths 4.9272, 6.0173, 6.4828 Å; angles 108.96, 94.23, 113.40 degrees
With the nearest neighbours (Å) after each atom.
Fractional coordinates of all 6 atoms:
Na 0.1591 0.3314 0.1029  4 Hg 3.07-3.31, 1 Sb 3.37, 1 Na 3.38
Na 0.8409 0.6686 0.8971  4 Hg 3.07-3.31, 1 Sb 3.37, 1 Na 3.38
Hg 0.1816 0.3497 0.6198  4 Na 3.07-3.31, 3 Sb 3.10-3.29
Hg 0.8184 0.6503 0.3802  4 Na 3.07-3.31, 3 Sb 3.10-3.29
Sb 0.4496 0.9776 0.7156  1 Sb 2.95, 3 Hg 3.10-3.29
Sb 0.5504 0.0224 0.2844  1 Sb 2.95, 3 Hg 3.10-3.29

***

4.
DFT (GGA-PBE) results for Na3Hg2Sb5 after structural relaxation.

Computed properties:
Theoretical density = 5.650 g/cm3
E = -51.8 eV for the cell shown
Raw formation energy = -0.074 eV per atom

Cell lengths 9.9784, 9.9784, 9.9784 Å; angles 115.98, 83.57, 132.37 degrees
With the nearest neighbours (Å) after each atom.
Fractional coordinates of all 20 atoms:
Na 0.1359 0.7493 0.8852  3 Sb 3.26-3.51, 1 Hg 3.53
Na 0.2500 0.2500 0.0000  4 Hg 3.06, 2 Sb 3.13
Na 0.3641 0.2493 0.6133  3 Sb 3.26-3.51, 1 Hg 3.53
Na 0.6359 0.7507 0.3867  3 Sb 3.26-3.51, 1 Hg 3.53
Na 0.7500 0.7500 0.0000  4 Hg 3.06, 2 Sb 3.13
Na 0.8641 0.2507 0.1148  3 Sb 3.26-3.51, 1 Hg 3.53
Hg 0.0943 0.1720 0.2663  3 Sb 2.98-3.22, 2 Na 3.06
Hg 0.4057 0.6720 0.0777  3 Sb 2.98-3.22, 2 Na 3.06
Hg 0.5943 0.3280 0.9223  3 Sb 2.98-3.22, 2 Na 3.06
Hg 0.9057 0.8280 0.7337  3 Sb 2.98-3.22, 2 Na 3.06
Sb 0.0398 0.2500 0.7898  2 Sb 2.94, 1 Na 3.13, 2 Hg 3.22
Sb 0.1516 0.4418 0.5934  4 Sb 2.94-3.09, 1 Hg 2.98, 1 Na 3.26
Sb 0.2500 0.7500 0.5000  4 Sb 3.09
Sb 0.3484 0.9418 0.2901  4 Sb 2.94-3.09, 1 Hg 2.98, 1 Na 3.26
Sb 0.4602 0.2500 0.2102  2 Sb 2.94, 1 Na 3.13, 2 Hg 3.22
Sb 0.5398 0.7500 0.7898  2 Sb 2.94, 1 Na 3.13, 2 Hg 3.22
Sb 0.6516 0.0582 0.7099  4 Sb 2.94-3.09, 1 Hg 2.98, 1 Na 3.26
Sb 0.7500 0.2500 0.5000  4 Sb 3.09
Sb 0.8484 0.5582 0.4066  4 Sb 2.94-3.09, 1 Hg 2.98, 1 Na 3.26
Sb 0.9602 0.7500 0.2102  2 Sb 2.94, 1 Na 3.13, 2 Hg 3.22

***

5.
DFT (GGA-PBE) results for NaHg6Sb2 after structural relaxation.

Computed properties:
Theoretical density = 9.374 g/cm3
E = -23.4 eV for the cell shown
Raw formation energy = -0.034 eV per atom

Cell lengths 6.7406, 6.7406, 12.7759 Å; angles 101.20, 101.20, 67.32 degrees
With the nearest neighbours (Å) after each atom.
Fractional coordinates of all 18 atoms:
Na 0.0361 0.9639 0.7500  8 Hg 3.18-3.47, 2 Sb 3.43
Na 0.9639 0.0361 0.2500  8 Hg 3.18-3.47, 2 Sb 3.43
Hg 0.0292 0.2462 0.0071  5 Hg 3.15-3.46, 1 Sb 3.41, 1 Na 3.46
Hg 0.0953 0.4420 0.7781  2 Sb 2.87-2.88, 2 Hg 3.15-3.18
Hg 0.1890 0.5623 0.5690  4 Hg 3.10-3.41, 2 Sb 3.16-3.22, 1 Na 3.18
Hg 0.2462 0.0292 0.5071  5 Hg 3.15-3.46, 1 Sb 3.41, 1 Na 3.46
Hg 0.4377 0.8110 0.9310  4 Hg 3.10-3.41, 2 Sb 3.16-3.22, 1 Na 3.18
Hg 0.4420 0.0953 0.2781  2 Sb 2.87-2.88, 2 Hg 3.15-3.18
Hg 0.5580 0.9047 0.7219  2 Sb 2.87-2.88, 2 Hg 3.15-3.18
Hg 0.5623 0.1890 0.0690  4 Hg 3.10-3.41, 2 Sb 3.16-3.22, 1 Na 3.18
Hg 0.7538 0.9708 0.4929  5 Hg 3.15-3.46, 1 Sb 3.41, 1 Na 3.46
Hg 0.8110 0.4377 0.4310  4 Hg 3.10-3.41, 2 Sb 3.16-3.22, 1 Na 3.18
Hg 0.9047 0.5580 0.2219  2 Sb 2.87-2.88, 2 Hg 3.15-3.18
Hg 0.9708 0.7538 0.9929  5 Hg 3.15-3.46, 1 Sb 3.41, 1 Na 3.46
Sb 0.3153 0.5574 0.3374  3 Hg 2.87-3.16, 1 Sb 2.92
Sb 0.4426 0.6847 0.1626  3 Hg 2.87-3.16, 1 Sb 2.92
Sb 0.5574 0.3153 0.8374  3 Hg 2.87-3.16, 1 Sb 2.92
Sb 0.6847 0.4426 0.6626  3 Hg 2.87-3.16, 1 Sb 2.92

***

6.
DFT (GGA-PBE) results for Na5Hg2Sb5 after structural relaxation.

Computed properties:
Theoretical density = 5.520 g/cm3
E = -30.9 eV for the cell shown
Raw formation energy = -0.256 eV per atom

Cell lengths 8.6111, 8.6111, 10.0220 Å; angles 121.38, 121.38, 32.83 degrees
With the nearest neighbours (Å) after each atom.
Fractional coordinates of all 12 atoms:
Na 0.0000 0.0000 0.0000  4 Sb 3.17, 4 Hg 3.37
Na 0.1284 0.1284 0.4320  3 Hg 3.36-3.49, 7 Sb 3.45-3.53, 1 Na 3.64
Na 0.1665 0.1665 0.8750  5 Sb 3.21-3.41, 1 Hg 3.44, 3 Na 3.51-3.59
Na 0.8335 0.8335 0.1250  5 Sb 3.21-3.41, 1 Hg 3.44, 3 Na 3.51-3.59
Na 0.8716 0.8716 0.5680  3 Hg 3.36-3.49, 7 Sb 3.45-3.53, 1 Na 3.64
Hg 0.3399 0.3399 0.7852  3 Sb 2.88-2.93
Hg 0.6601 0.6601 0.2148  3 Sb 2.88-2.93
Sb 0.2742 0.2742 0.2768  2 Hg 2.93, 1 Sb 3.14
Sb 0.4743 0.4743 0.1765  1 Hg 2.88, 1 Sb 3.03, 4 Na 3.17-3.21
Sb 0.5000 0.5000 0.5000  4 Sb 3.03-3.14
Sb 0.5257 0.5257 0.8235  1 Hg 2.88, 1 Sb 3.03, 4 Na 3.17-3.21
Sb 0.7258 0.7258 0.7232  2 Hg 2.93, 1 Sb 3.14